Record 1
Below is crystalline TaFe2Ni at its relaxed geometry, with properties calculated at the PBE level.

a = 2.6166 Å, b = 4.1750 Å, c = 4.8686 Å
α = 90.00°, β = 99.81°, γ = 90.00°
Closest atoms and distances in Å follow each position.
Positions (direct):
Ta 0.0000 0.0000 0.0000  2 Ni 2.56, 4 Fe 2.58, 2 Ta 2.62
Fe 0.2530 0.5000 0.7404  4 Fe 2.49-2.64, 2 Ni 2.53, 2 Ta 2.58
Fe 0.7470 0.5000 0.2596  4 Fe 2.49-2.64, 2 Ni 2.53, 2 Ta 2.58
Ni 0.5000 0.0000 0.5000  4 Fe 2.53, 2 Ta 2.56, 2 Ni 2.62



Record 2
Below is crystalline CsLi2Pb at its relaxed geometry, with properties calculated at the PBE level.

a = 7.3534 Å, b = 7.3534 Å, c = 7.3534 Å
α = 39.56°, β = 39.56°, γ = 39.56°
Closest atoms and distances in Å follow each position.
Positions (direct):
Cs 0.0000 0.0000 0.0000  2 Li 3.66
Li 0.1803 0.1803 0.1803  3 Pb 2.89, 3 Li 2.93
Li 0.8197 0.8197 0.8197  3 Pb 2.89, 3 Li 2.93
Pb 0.5000 0.5000 0.5000  6 Li 2.89



Record 3
Below is crystalline Th6Co3SeS2 at its relaxed geometry, with properties calculated at the PBE level.

Output
**Formation energy without anion corrections**: -0.977 eV per atom

a = 9.1761 Å, b = 9.1761 Å, c = 8.5479 Å
α = 108.42°, β = 108.42°, γ = 25.72°
Closest atoms and distances in Å follow each position.
Positions (direct):
Th 0.0110 0.0110 0.2328  3 Co 2.64-2.81
Th 0.3206 0.3206 0.4276  3 Co 2.60-2.86
Th 0.3428 0.3428 0.9079  3 Co 2.66-2.85
Th 0.6572 0.6572 0.0921  3 Co 2.66-2.85
Th 0.6794 0.6794 0.5724  3 Co 2.60-2.86
Th 0.9890 0.9890 0.7672  3 Co 2.64-2.81
Co 0.1669 0.1669 0.3307  6 Th 2.60-2.86
Co 0.5000 0.5000 0.0000  6 Th 2.66-2.81
Co 0.8331 0.8331 0.6693  6 Th 2.60-2.86
Se 0.5000 0.5000 0.5000  6 Th 3.07-3.12
S 0.1666 0.1666 0.8323  6 Th 3.01-3.08
S 0.8334 0.8334 0.1677  6 Th 3.01-3.08



Record 4
Below is crystalline Pr2Al4Cu3Ir at its relaxed geometry, with properties calculated at the PBE level.

a = 4.2420 Å, b = 4.2420 Å, c = 10.3167 Å
α = 90.00°, β = 90.00°, γ = 90.00°
Closest atoms and distances in Å follow each position.
Positions (direct):
Pr 0.0000 0.5000 0.2457  8 Al 3.24-3.37, 6 Cu 3.26-3.31, 2 Ir 3.31
Pr 0.5000 0.0000 0.7543  8 Al 3.24-3.37, 6 Cu 3.26-3.31, 2 Ir 3.31
Al 0.0000 0.0000 0.5000  4 Cu 2.52
Al 0.0000 0.5000 0.8742  3 Cu 2.49-2.50, 2 Ir 2.49
Al 0.5000 0.0000 0.1258  3 Cu 2.49-2.50, 2 Ir 2.49
Al 0.5000 0.5000 0.5000  4 Cu 2.52
Cu 0.0000 0.0000 0.0000  4 Al 2.49
Cu 0.0000 0.5000 0.6315  5 Al 2.50-2.52
Cu 0.5000 0.0000 0.3685  5 Al 2.50-2.52
Ir 0.5000 0.5000 0.0000  4 Al 2.49



Across the entries above, calculated total energy takes the values -8.58, -2.26, -7.44, -5.07 eV per atom, respectively.
Across the entries above, DOS(E_F) takes the values 5.31, 4.50, 10.66, 6.48 states/eV/f.u., respectively.